(1)
This record from Alexandria describes a relaxed structure of Er3HgSe. The functional is PBE.

Structure (POSCAR):
```
Er3HgSe
1.0
-0.619 -2.695 2.824
-4.430 -5.069 -5.808
12.836 -6.900 -3.768
Er Hg Se
12 4 4
Direct
0.250 0.344 0.542
0.750 0.811 0.221
0.750 0.524 0.889
0.750 0.024 0.611
0.750 0.656 0.458
0.250 0.976 0.389
0.250 0.844 0.958
0.750 0.311 0.279
0.250 0.689 0.721
0.250 0.189 0.779
0.750 0.156 0.042
0.250 0.476 0.111
0.750 0.922 0.811
0.250 0.078 0.189
0.750 0.422 0.689
0.250 0.578 0.311
0.250 0.318 0.948
0.250 0.818 0.552
0.750 0.182 0.448
0.750 0.682 0.052
```

Values from the calculation:
Calculated volume ... 529.0 Å³ per cell
Formation energy without anion corrections ... -0.8733 eV per atom
Calculated density ... 9.8 g/cm3

(2)
This record from Alexandria describes a relaxed structure of Nd3HoMg2. The functional is PBE.

Structure (POSCAR):
```
Nd3HoMg2
1.0
3.802 0.000 0.000
0.000 3.802 0.000
0.000 0.000 12.762
Nd Ho Mg
3 1 2
Direct
0.000 0.000 0.000
0.000 0.000 0.689
0.000 0.000 0.311
0.500 0.500 0.500
0.500 0.500 0.845
0.500 0.500 0.155
```

Values from the calculation:
Calculated volume ... 184.5 Å³ per cell
ΔE_f ... -0.0543 eV per atom
Calculated density ... 5.8 g/cm3

(3)
This record from Alexandria describes a relaxed structure of Li2AlRh2. The functional is PBE.

Structure (POSCAR):
```
Li2AlRh2
1.0
4.023 0.236 2.438
1.546 3.722 2.438
0.386 0.274 4.687
Li Al Rh
2 1 2
Direct
0.414 0.414 0.414
0.586 0.586 0.586
0.000 0.000 0.000
0.781 0.781 0.781
0.219 0.219 0.219
```

Values from the calculation:
Offset from the most stable computed form ... 0 meV per atom
Calculated volume ... 63.5 Å³ per cell
ΔE_f ... -0.3429 eV per atom
Calculated density ... 6.4 g/cm3

no.,calculated total energy (eV per atom)
1,-4.37
2,-3.73
3,-4.80